This record from the Alexandria database describes a geometry-optimized ZnGe2Pt2 structure. The functional is PBE-GGA.

Summary:
DOS at the Fermi energy	0.4932	states/eV per atom
ΔH_f (0 K)	-0.125	eV/atom
energy above the lowest structure with this stoichiometry	0.2346	eV per atom

a = 3.854 Å, b = 3.854 Å, c = 6.622 Å
α = 73.08°, β = 73.08°, γ = 90.00°
Fractional positions:
Ge1 0.250 0.750 0.500
Ge2 0.750 0.250 0.500
Pt1 0.610 0.610 0.779
Pt2 0.390 0.390 0.221
Zn1 0.000 0.000 0.000

---

This record from the Alexandria database describes a geometry-optimized Sc5Si2Hg2 structure. The functional is PBE-GGA.

Summary:
DOS at the Fermi energy	0.6712	states/eV per atom
ΔE_f (raw)	-614.7	meV/atom

a = 7.051 Å, b = 7.057 Å, c = 8.321 Å
α = 90.00°, β = 64.93°, γ = 90.00°
Fractional positions:
Sc1 0.056 0.675 0.248
Sc2 0.304 0.675 0.752
Sc3 0.696 0.325 0.248
Sc4 0.556 0.825 0.248
Sc5 0.000 0.000 0.000
Sc6 0.444 0.175 0.752
Sc7 0.500 0.500 0.000
Sc8 0.944 0.325 0.752
Sc9 0.196 0.175 0.248
Sc10 0.804 0.825 0.752
Si1 0.123 0.375 0.000
Si2 0.877 0.625 0.000
Si3 0.623 0.125 0.000
Si4 0.377 0.875 0.000
Hg1 0.281 0.500 0.438
Hg2 0.219 0.000 0.562
Hg3 0.719 0.500 0.562
Hg4 0.781 0.000 0.438

---

This record from the Alexandria database describes a geometry-optimized MnRu2 structure. The functional is PBE-GGA.

Summary:
DOS at the Fermi energy	1.4854	states/eV per atom
ΔH_f (0 K)	0.346	eV/atom

a = 6.218 Å, b = 6.218 Å, c = 3.706 Å
α = 90.00°, β = 90.00°, γ = 120.00°
Each line ends with the local moment (μB).
Fractional positions:
Ru1 0.000 0.603 0.500  -0.21
Ru2 0.000 0.254 0.000  -0.24
Ru3 0.254 0.000 0.000  -0.24
Ru4 0.603 0.000 0.500  -0.21
Ru5 0.397 0.397 0.500  -0.21
Ru6 0.746 0.746 0.000  -0.24
Mn1 0.667 0.333 0.000  2.03
Mn2 0.333 0.667 0.000  2.03
Mn3 0.000 0.000 0.500  1.05

---

This record from the Alexandria database describes a geometry-optimized Mo2IrBr structure. The functional is PBE-GGA.

Summary:
DOS at the Fermi energy	1.0699	states/eV per atom
ΔE_f (raw)	386.6	meV/atom
energy above the lowest structure with this stoichiometry	0.0000	eV per atom

a = 9.609 Å, b = 9.609 Å, c = 9.609 Å
α = 17.48°, β = 17.48°, γ = 17.48°
Fractional positions:
Ir1 0.738 0.738 0.738
Br1 0.513 0.513 0.513
Mo1 0.000 0.000 0.000
Mo2 0.249 0.249 0.249